{"formula": "BeFeNi", "functional": "PBE-GGA", "state": "optimized geometry", "spacegroup": "F-43m, No. 216", "dft_energy_ev_per_atom": -5.771, "n_ef_per_ev_cell": 2.85, "lattice": [[3.617, 0.000, 0.000], [1.808, 3.132, 0.000], [1.808, 1.044, 2.953]], "species": ["Ni", "Fe", "Be"], "frac_coords": [[0.500, 0.500, 0.500], [0.000, 0.000, 0.000], [0.750, 0.750, 0.750]]}

{"formula": "CoAg2Mo", "functional": "PBE-GGA", "state": "optimized geometry", "spacegroup": "C2/m, No. 12", "dft_energy_ev_per_atom": -5.368, "n_ef_per_ev_cell": 4.57, "lattice": [[5.027, -0.001, 0.028], [4.291, 2.619, 0.028], [0.740, 0.208, 4.693]], "species": ["Ag", "Ag", "Co", "Mo"], "frac_coords": [[0.005, 0.005, 0.996], [0.495, 0.495, 0.504], [0.750, 0.750, 0.750], [0.250, 0.250, 0.250]]}

{"formula": "K2PRh", "functional": "PBE-GGA", "state": "optimized geometry", "spacegroup": "Imm2, No. 44", "dft_energy_ev_per_atom": -3.997, "n_ef_per_ev_cell": 1.08, "lattice": [[6.071, -0.025, 0.002], [1.735, 5.818, -0.002], [-3.309, -3.697, 3.499]], "species": ["K", "K", "P", "Rh"], "frac_coords": [[0.034, 0.034, 0.000], [0.716, 0.216, 0.500], [0.381, 0.381, 0.000], [0.369, 0.869, 0.500]]}

{"formula": "Tm2Tl5I12", "functional": "PBE-GGA", "state": "optimized geometry", "raw_formation_energy_ev_per_atom": -0.88, "spacegroup": "C2/m, No. 12", "n_ef_per_ev_cell": 5.25, "lattice": [[-2.845, -8.190, 1.411], [7.341, 0.877, -7.450], [5.119, -0.072, 9.905]], "species": ["Tm", "Tm", "Tl", "Tl", "Tl", "Tl", "Tl", "I", "I", "I", "I", "I", "I", "I", "I", "I", "I", "I", "I"], "frac_coords": [[0.747, 0.000, 0.000], [0.253, 0.000, 0.000], [0.280, 0.561, 0.632], [0.317, 0.634, 0.176], [0.000, 0.000, 0.500], [0.683, 0.366, 0.824], [0.720, 0.439, 0.368], [0.005, 0.010, 0.188], [0.095, 0.671, 0.916], [0.576, 0.671, 0.916], [0.124, 0.740, 0.443], [0.616, 0.740, 0.443], [0.492, 0.984, 0.804], [0.508, 0.016, 0.196], [0.876, 0.260, 0.557], [0.384, 0.260, 0.557], [0.905, 0.329, 0.084], [0.424, 0.329, 0.084], [0.995, 0.990, 0.812]]}

{"formula": "LaGa3B4O12", "functional": "PBE-GGA", "state": "optimized geometry", "raw_formation_energy_ev_per_atom": -2.37, "spacegroup": "R32, No. 155", "n_ef_per_ev_cell": 0.00, "lattice": [[-4.655, 3.375, 2.080], [-2.171, -2.449, -5.165], [0.216, -4.726, 3.874]], "species": ["La", "Ga", "Ga", "Ga", "B", "B", "B", "B", "O", "O", "O", "O", "O", "O", "O", "O", "O", "O", "O", "O"], "frac_coords": [[0.000, 0.000, 0.000], [0.552, 0.448, 0.000], [0.448, 0.000, 0.552], [0.000, 0.552, 0.448], [0.944, 0.056, 0.500], [0.056, 0.500, 0.944], [0.500, 0.944, 0.056], [0.500, 0.500, 0.500], [0.500, 0.355, 0.645], [0.910, 0.500, 0.090], [0.090, 0.910, 0.500], [0.500, 0.090, 0.910], [0.378, 0.974, 0.217], [0.217, 0.378, 0.974], [0.974, 0.217, 0.378], [0.622, 0.783, 0.026], [0.026, 0.622, 0.783], [0.783, 0.026, 0.622], [0.645, 0.500, 0.355], [0.355, 0.645, 0.500]]}

{"formula": "YErCoPt", "functional": "PBE-GGA", "state": "optimized geometry", "spacegroup": "F-43m, No. 216", "dft_energy_ev_per_atom": -6.720, "n_ef_per_ev_cell": 2.79, "lattice": [[4.835, 0.000, 0.000], [2.417, 4.187, 0.000], [2.417, 1.396, 3.948]], "species": ["Y", "Co", "Pt", "Er"], "frac_coords": [[0.500, 0.500, 0.500], [0.250, 0.250, 0.250], [0.750, 0.750, 0.750], [0.000, 0.000, 0.000]]}

{"formula": "TcHg2Rh", "functional": "PBE-GGA", "state": "optimized geometry", "spacegroup": "P4/mmm, No. 123", "dft_energy_ev_per_atom": -4.013, "n_ef_per_ev_cell": 5.01, "lattice": [[-2.638, -3.584, 1.722], [3.972, -2.278, 1.343], [-0.121, 1.406, 2.742]], "species": ["Hg", "Hg", "Rh", "Tc"], "frac_coords": [[0.000, 0.000, 0.000], [0.500, 0.500, 0.000], [0.500, 0.000, 0.500], [0.000, 0.500, 0.500]]}

{"formula": "Tb6DyY2", "functional": "PBE-GGA", "state": "optimized geometry", "spacegroup": "C2/c, No. 15", "dft_energy_ev_per_atom": -4.923, "n_ef_per_ev_cell": 23.62, "lattice": [[6.591, -0.104, -0.100], [1.693, 9.383, -0.813], [1.693, -0.508, 9.404]], "species": ["Tb", "Tb", "Tb", "Tb", "Tb", "Tb", "Tb", "Tb", "Tb", "Tb", "Tb", "Tb", "Dy", "Dy", "Y", "Y", "Y", "Y"], "frac_coords": [[0.501, 0.651, 0.280], [0.999, 0.720, 0.349], [0.499, 0.349, 0.720], [0.001, 0.280, 0.651], [0.729, 0.057, 0.463], [0.771, 0.537, 0.943], [0.271, 0.943, 0.537], [0.229, 0.463, 0.057], [0.319, 0.779, 0.956], [0.181, 0.044, 0.221], [0.681, 0.221, 0.044], [0.819, 0.956, 0.779], [0.250, 0.120, 0.880], [0.750, 0.880, 0.120], [0.131, 0.619, 0.668], [0.369, 0.332, 0.381], [0.869, 0.381, 0.332], [0.631, 0.668, 0.619]]}